## MgCr2O7 (PBE with a Hubbard U)

Data for crystalline MgCr2O7 at its relaxed geometry.

Cell: 6.5624 6.6646 7.4523 Å, 72.57 90.00 90.00°
Positions (direct):
Mg (0.1039, 0.0239, 0.3865)
Mg (0.6039, 0.9761, 0.6135)
O (0.4239, 0.5455, 0.2919)
O (0.9239, 0.4545, 0.7081)
O (0.8882, 0.9277, 0.7390)
O (0.3882, 0.0723, 0.2610)
O (0.1658, 0.6707, 0.9880)
O (0.7786, 0.0386, 0.3648)
O (0.0832, 0.7437, 0.3337)
O (0.6508, 0.9090, 0.0720)
O (0.5832, 0.2563, 0.6663)
O (0.2786, 0.9614, 0.6352)
O (0.6658, 0.3293, 0.0120)
O (0.0729, 0.3412, 0.3171)
O (0.1508, 0.0910, 0.9280)
O (0.5729, 0.6588, 0.6829)
Cr (0.6201, 0.0843, 0.1759)
Cr (0.6874, 0.4281, 0.7585)
Cr (0.1201, 0.9157, 0.8241)
Cr (0.1874, 0.5719, 0.2415)

**Space group**: P2_1
**Magnetic moment**: 0.000 μB per atom
**VASP energy**: -131.178 eV per cell

***

## MgCr2O5 (PBE with a Hubbard U)

Data for crystalline MgCr2O5 at its relaxed geometry.

Cell: 3.3917 4.8870 11.7156 Å, 90.00 90.00 90.00°
Each line ends with the local moment (μB).
Positions (direct):
O (0.5000, 0.1019, 0.3977)  -0.29
O (0.5000, 0.6162, 0.5000)  -0.07
O (0.0000, 0.8981, 0.1023)  -0.29
O (0.5000, 0.4068, 0.8207)  -0.12
O (0.0000, 0.8981, 0.8977)  -0.29
O (0.5000, 0.1019, 0.6023)  -0.29
O (0.0000, 0.3838, 0.0000)  -0.07
O (0.5000, 0.4068, 0.1793)  -0.12
O (0.0000, 0.5932, 0.3207)  -0.12
O (0.0000, 0.5932, 0.6793)  -0.12
Mg (0.5000, 0.1055, 0.0000)  0.01
Mg (0.0000, 0.8945, 0.5000)  0.01
Cr (0.0000, 0.5587, 0.1474)  2.45
Cr (0.5000, 0.4413, 0.3526)  2.45
Cr (0.0000, 0.5587, 0.8526)  2.45
Cr (0.5000, 0.4413, 0.6474)  2.45

**Space group**: Pmmn
**Magnetic moment**: 0.500 μB per atom
**Distance to the lowest polymorph of the same formula**: 39 meV per atom
**VASP energy**: -109.867 eV per cell

***

## Mg2Cr3O8 (PBE with a Hubbard U)

Data for crystalline Mg2Cr3O8 at its relaxed geometry.

Cell: 5.9155 5.9155 4.9398 Å, 72.28 72.28 59.52°
Each line ends with the local moment (μB).
Positions (direct):
O (0.3388, 0.8885, 0.5921)  -0.09
O (0.1097, 0.1097, 0.0775)  -0.07
O (0.3975, 0.3975, 0.9168)  -0.31
O (0.6612, 0.1115, 0.4079)  -0.09
O (0.8903, 0.8903, 0.9225)  -0.07
O (0.1115, 0.6612, 0.4079)  -0.09
O (0.6025, 0.6025, 0.0832)  -0.31
O (0.8885, 0.3388, 0.5921)  -0.09
Cr (0.0000, 0.0000, 0.5000)  2.19
Cr (0.7391, 0.2609, 0.0000)  2.50
Cr (0.2609, 0.7391, 0.0000)  2.50
Mg (0.7253, 0.7253, 0.3449)  0.00
Mg (0.2747, 0.2747, 0.6551)  0.00

**Space group**: C2/m
**Magnetic moment**: 0.462 μB per atom
**Distance to the lowest polymorph of the same formula**: 48 meV per atom
**VASP energy**: -90.208 eV per cell

***

## MgCr4O8 (PBE with a Hubbard U)

Data for crystalline MgCr4O8 at its relaxed geometry.

Cell: 6.0150 6.0150 6.0150 Å, 58.78 58.78 58.78°
Each line ends with the local moment (μB).
Positions (direct):
O (0.7251, 0.2432, 0.2432)  -0.07
O (0.7293, 0.7293, 0.7293)  -0.21
O (0.7568, 0.7568, 0.2749)  -0.07
O (0.2432, 0.2432, 0.7251)  -0.07
O (0.2707, 0.2707, 0.2707)  -0.21
O (0.7568, 0.2749, 0.7568)  -0.07
O (0.2432, 0.7251, 0.2432)  -0.07
O (0.2749, 0.7568, 0.7568)  -0.07
Cr (0.0000, 0.0000, 0.0000)  2.97
Cr (0.5000, 0.0000, 0.5000)  2.58
Cr (0.5000, 0.5000, 0.0000)  2.58
Cr (0.0000, 0.5000, 0.5000)  2.58
Mg (0.5000, 0.5000, 0.5000)  0.00

**Space group**: R-3m
**Magnetic moment**: 0.769 μB per atom
**Distance to the lowest polymorph of the same formula**: 6 meV per atom
**VASP energy**: -95.041 eV per cell

***

## MgCrO2 (PBE with a Hubbard U)

Data for crystalline MgCrO2 at its relaxed geometry.

Cell: 8.2994 8.2994 9.4123 Å, 64.60 64.60 20.51°
Each line ends with the local moment (μB).
Positions (direct):
Cr (0.1813, 0.1813, 0.6490)  3.16
Cr (0.6470, 0.6470, 0.0140)  3.76
Cr (0.8187, 0.8187, 0.3510)  3.16
Cr (0.3530, 0.3530, 0.9860)  3.76
O (0.4146, 0.4146, 0.3085)  -0.01
O (0.7846, 0.7846, 0.5890)  -0.05
O (0.1218, 0.1218, 0.1912)  0.00
O (0.8782, 0.8782, 0.8088)  0.00
O (0.1892, 0.1892, 0.8567)  -0.05
O (0.2154, 0.2154, 0.4110)  -0.05
O (0.5854, 0.5854, 0.6915)  -0.01
O (0.8108, 0.8108, 0.1433)  -0.05
Mg (0.0120, 0.0120, 0.6550)  0.00
Mg (0.3282, 0.3282, 0.7041)  0.00
Mg (0.9880, 0.9880, 0.3450)  0.00
Mg (0.6718, 0.6718, 0.2959)  0.00

**Space group**: C2/m
**Magnetic moment**: 0.896 μB per atom
**VASP energy**: -106.344 eV per cell

***

## MgCr3O (PBE with a Hubbard U)

Data for crystalline MgCr3O at its relaxed geometry.

Cell: 5.0390 5.0390 5.0390 Å, 90.00 90.00 90.00°
Each line ends with the local moment (μB).
Positions (direct):
Cr (0.5000, 0.0000, 0.0000)  4.29
Cr (0.0000, 0.0000, 0.5000)  4.43
Cr (0.0000, 0.5000, 0.0000)  4.39
Mg (0.0000, 0.0000, 0.0000)  0.02
O (0.5000, 0.5000, 0.5000)  -0.69

**Space group**: Pm-3m
**Magnetic moment**: 2.802 μB per atom
**Distance to the lowest polymorph of the same formula**: 1672 meV per atom
**VASP energy**: -21.389 eV per cell

***

## MgCrO2 (PBE with a Hubbard U)

Data for crystalline MgCrO2 at its relaxed geometry.

Cell: 5.2419 5.2419 5.1118 Å, 59.15 59.15 90.00°
Each line ends with the local moment (μB).
Positions (direct):
O (0.3750, 0.3902, 0.7500)  0.00
O (0.8750, 0.8598, 0.7500)  0.01
O (0.6098, 0.1250, 0.2500)  0.00
O (0.1402, 0.6250, 0.2500)  0.01
Cr (0.7500, 0.2500, 0.5000)  3.76
Cr (0.0000, 0.0000, 0.0000)  3.76
Mg (0.5000, 0.5000, 0.0000)  0.01
Mg (0.2500, 0.7500, 0.5000)  0.01

**Space group**: I-42d
**Magnetic moment**: 1.000 μB per atom
**VASP energy**: -53.397 eV per cell

***

## Mg2CrO (PBE with a Hubbard U)

Data for crystalline Mg2CrO at its relaxed geometry.

Cell: 6.1644 6.1644 5.9059 Å, 58.54 58.54 90.00°
Each line ends with the local moment (μB).
Positions (direct):
O (0.2500, 0.7500, 0.5000)  0.01
O (0.5000, 0.5000, 0.0000)  0.01
Cr (0.7500, 0.2500, 0.5000)  0.94
Cr (0.0000, 0.0000, 0.0000)  0.94
Mg (0.8750, 0.7403, 0.7500)  0.00
Mg (0.2597, 0.6250, 0.2500)  0.00
Mg (0.3750, 0.5097, 0.7500)  0.00
Mg (0.4903, 0.1250, 0.2500)  0.00

**Space group**: I-42d
**Magnetic moment**: 0.260 μB per atom
**VASP energy**: -32.938 eV per cell

***

## MgCrO2 (PBE with a Hubbard U)

Data for crystalline MgCrO2 at its relaxed geometry.

Cell: 2.9720 7.6198 7.7968 Å, 80.40 90.00 90.00°
Each line ends with the local moment (μB).
Positions (direct):
O (0.7500, 0.0316, 0.8343)  0.01
O (0.7500, 0.7631, 0.6039)  0.01
O (0.7500, 0.3298, 0.0447)  0.03
O (0.2500, 0.6702, 0.9553)  0.03
O (0.2500, 0.3966, 0.7136)  0.01
O (0.2500, 0.9684, 0.1657)  0.01
O (0.7500, 0.6034, 0.2864)  0.01
O (0.2500, 0.2369, 0.3961)  0.01
Cr (0.2500, 0.6893, 0.4371)  3.76
Cr (0.7500, 0.3107, 0.5629)  3.76
Cr (0.2500, 0.9083, 0.7136)  3.74
Cr (0.7500, 0.0917, 0.2864)  3.74
Mg (0.7500, 0.8132, 0.0640)  0.00
Mg (0.7500, 0.5439, 0.8289)  0.00
Mg (0.2500, 0.1868, 0.9360)  0.00
Mg (0.2500, 0.4561, 0.1711)  0.00

**Space group**: P2_1/m
**Magnetic moment**: 1.000 μB per atom
**VASP energy**: -109.760 eV per cell

***

## Mg2Cr3O8 (PBE with a Hubbard U)

Data for crystalline Mg2Cr3O8 at its relaxed geometry.

Cell: 5.8712 5.8712 9.4733 Å, 90.00 90.00 120.00°
Each line ends with the local moment (μB).
Positions (direct):
Mg (0.3333, 0.6667, 0.5207)  0.00
Mg (0.3333, 0.6667, 0.9229)  0.00
Mg (0.6667, 0.3333, 0.0207)  0.00
Mg (0.6667, 0.3333, 0.4229)  0.00
Cr (0.1635, 0.8365, 0.2440)  2.28
Cr (0.8365, 0.1635, 0.7440)  2.28
Cr (0.8365, 0.6730, 0.7440)  2.28
Cr (0.6730, 0.8365, 0.2440)  2.28
Cr (0.3270, 0.1635, 0.7440)  2.28
Cr (0.1635, 0.3270, 0.2440)  2.28
O (0.8374, 0.1626, 0.1479)  -0.19
O (0.3333, 0.6667, 0.1320)  -0.01
O (0.5191, 0.4809, 0.8631)  -0.07
O (0.8374, 0.6749, 0.1479)  -0.19
O (0.4809, 0.5191, 0.3631)  -0.07
O (0.6667, 0.3333, 0.6320)  -0.01
O (0.3251, 0.1626, 0.1479)  -0.19
O (0.0000, 0.0000, 0.3528)  -0.04
O (0.4809, 0.9619, 0.3631)  -0.07
O (0.0381, 0.5191, 0.3631)  -0.07
O (0.9619, 0.4809, 0.8631)  -0.07
O (0.0000, 0.0000, 0.8528)  -0.04
O (0.6749, 0.8374, 0.6479)  -0.19
O (0.1626, 0.8374, 0.6479)  -0.19
O (0.1626, 0.3251, 0.6479)  -0.19
O (0.5191, 0.0381, 0.8631)  -0.07

**Space group**: P6_3mc
**Magnetic moment**: 0.462 μB per atom
**Distance to the lowest polymorph of the same formula**: 0 meV per atom
**VASP energy**: -181.657 eV per cell

***

## MgCr4O6 (PBE with a Hubbard U)

Data for crystalline MgCr4O6 at its relaxed geometry.

Cell: 5.2938 5.2938 15.0596 Å, 90.00 90.00 146.97°
Each line ends with the local moment (μB).
Positions (direct):
Mg (0.6658, 0.3342, 0.7500)  0.01
Mg (0.3342, 0.6658, 0.2500)  0.01
Cr (0.1385, 0.8615, 0.5455)  3.70
Cr (0.8615, 0.1385, 0.0455)  3.70
Cr (0.8615, 0.1385, 0.4545)  3.70
Cr (0.1385, 0.8615, 0.9545)  3.70
Cr (0.4105, 0.5895, 0.8638)  3.19
Cr (0.5895, 0.4105, 0.3638)  3.19
Cr (0.4105, 0.5895, 0.6362)  3.19
Cr (0.5895, 0.4105, 0.1362)  3.19
O (0.9546, 0.0454, 0.1630)  -0.04
O (0.2102, 0.7898, 0.0850)  -0.04
O (0.5000, 0.5000, 0.0000)  -0.01
O (0.7898, 0.2102, 0.9150)  -0.04
O (0.5000, 0.5000, 0.5000)  -0.01
O (0.2102, 0.7898, 0.4150)  -0.04
O (0.0454, 0.9546, 0.6630)  -0.04
O (0.0454, 0.9546, 0.8370)  -0.04
O (0.6913, 0.3087, 0.2500)  -0.05
O (0.7898, 0.2102, 0.5850)  -0.04
O (0.3087, 0.6913, 0.7500)  -0.05
O (0.9546, 0.0454, 0.3370)  -0.04

**Space group**: Cmcm
**Magnetic moment**: 1.273 μB per atom
**VASP energy**: -163.365 eV per cell

***

## MgCr3O (PBE with a Hubbard U)

Data for crystalline MgCr3O at its relaxed geometry.

Cell: 4.3475 4.3475 4.3475 Å, 90.00 90.00 90.00°
Each line ends with the local moment (μB).
Positions (direct):
Cr (0.5000, 0.0000, 0.0000)  3.84
Cr (0.0000, 0.0000, 0.5000)  4.07
Cr (0.0000, 0.5000, 0.0000)  3.96
Mg (0.5000, 0.5000, 0.5000)  -0.07
O (0.0000, 0.0000, 0.0000)  -0.14

**Space group**: Pm-3m
**Magnetic moment**: 2.440 μB per atom
**Distance to the lowest polymorph of the same formula**: 0 meV per atom
**VASP energy**: -29.750 eV per cell